ZrPdRh | PBE | optimized geometry

E_form: -0.783 eV/atom
Fermi-level density of states: 0.69 states/eV/f.u.
total magnetic moment: 0.000 μB/atom
density: 9.9 Mg/m³

abc: 4.0596 12.9765 3.8109
angles: 90.00 90.00 90.00
With the nearest neighbours (Å) after each atom.
Fractional coordinates of all 12 atoms:
1 Pd 0.0000 0.5000 0.5000  4 Pd 2.78, 4 Zr 2.86, 4 Rh 2.89
2 Pd 0.5000 0.0000 0.5000  4 Pd 2.78, 4 Zr 2.86, 4 Rh 2.89
3 Pd 0.5000 0.5000 0.0000  4 Zr 2.78, 4 Pd 2.78, 4 Rh 2.97
4 Pd 0.0000 0.0000 0.0000  4 Zr 2.78, 4 Pd 2.78, 4 Rh 2.97
5 Rh 0.5000 0.1669 0.0000  6 Zr 2.79-2.99, 4 Pd 2.89-2.97, 2 Rh 2.96
6 Rh 0.0000 0.3331 0.0000  6 Zr 2.79-2.99, 4 Pd 2.89-2.97, 2 Rh 2.96
7 Rh 0.5000 0.8331 0.0000  6 Zr 2.79-2.99, 4 Pd 2.89-2.97, 2 Rh 2.96
8 Rh 0.0000 0.6669 0.0000  6 Zr 2.79-2.99, 4 Pd 2.89-2.97, 2 Rh 2.96
9 Zr 0.0000 0.1557 0.5000  4 Pd 2.78-2.86, 6 Rh 2.79-2.99
10 Zr 0.0000 0.8443 0.5000  4 Pd 2.78-2.86, 6 Rh 2.79-2.99
11 Zr 0.5000 0.3443 0.5000  4 Pd 2.78-2.86, 6 Rh 2.79-2.99
12 Zr 0.5000 0.6557 0.5000  4 Pd 2.78-2.86, 6 Rh 2.79-2.99

---

ScFe2Os | PBE | optimized geometry

E_form: 0.069 eV/atom
Fermi-level density of states: 4.20 states/eV/f.u.
total magnetic moment: 1.044 μB/atom
density: 10.1 Mg/m³

abc: 4.1771 2.7051 5.2105
angles: 76.26 90.00 90.00
With the nearest neighbours (Å) after each atom.
Fractional coordinates of all 4 atoms:
1 Fe 0.0000 0.0004 0.0233  3 Fe 2.43-2.71, 2 Os 2.57, 2 Sc 2.70
2 Fe 0.0000 0.4996 0.4767  3 Fe 2.43-2.71, 2 Os 2.57, 2 Sc 2.70
3 Os 0.5000 0.2500 0.2500  4 Fe 2.57, 2 Sc 2.64, 2 Os 2.71
4 Sc 0.5000 0.7500 0.7500  2 Os 2.64, 4 Fe 2.70, 2 Sc 2.71

---

Pm4SnP2 | PBE | optimized geometry

E_form: -1.150 eV/atom
Fermi-level density of states: 3.85 states/eV/f.u.
total magnetic moment: 0.107 μB/atom
density: 6.3 Mg/m³

abc: 4.1689 7.1291 14.0745
angles: 90.00 90.00 107.00
With the nearest neighbours (Å) after each atom.
Fractional coordinates of all 14 atoms:
1 Pm 0.7672 0.5344 0.3847  3 P 2.80-2.86
2 Pm 0.9354 0.8707 0.7500  2 P 2.84, 2 Sn 3.14
3 Pm 0.5000 0.0000 0.0000  4 P 2.91
4 Pm 0.2328 0.4656 0.8847  3 P 2.80-2.86
5 Pm 0.5000 0.0000 0.5000  4 P 2.91
6 Pm 0.0646 0.1293 0.2500  2 P 2.84, 2 Sn 3.14
7 Pm 0.2328 0.4656 0.6153  3 P 2.80-2.86
8 Pm 0.7672 0.5344 0.1153  3 P 2.80-2.86
9 Sn 0.6076 0.2153 0.7500  6 Pm 3.14-3.29
10 Sn 0.3924 0.7847 0.2500  6 Pm 3.14-3.29
11 P 0.8645 0.7289 0.9398  6 Pm 2.80-2.91
12 P 0.1355 0.2711 0.4398  6 Pm 2.80-2.91
13 P 0.8645 0.7289 0.5602  6 Pm 2.80-2.91
14 P 0.1355 0.2711 0.0602  6 Pm 2.80-2.91

---

Y2As | PBE | optimized geometry

E_form: -0.947 eV/atom
Fermi-level density of states: 2.76 states/eV/f.u.
total magnetic moment: 0.000 μB/atom
density: 5.4 Mg/m³

abc: 6.7377 6.7377 6.0604
angles: 89.95 89.95 34.22
With the nearest neighbours (Å) after each atom.
Fractional coordinates of all 6 atoms:
1 Y 0.3611 0.3611 0.2778  4 As 3.01, 2 Y 3.03
2 Y 0.6537 0.6537 0.0280  4 As 2.88-3.19
3 Y 0.0685 0.0685 0.5276  4 As 2.88-3.19
4 Y 0.3611 0.3611 0.7778  4 As 3.01, 2 Y 3.03
5 As 0.7303 0.7303 0.5282  8 Y 2.88-3.19
6 As 0.9919 0.9919 0.0273  8 Y 2.88-3.19